NdTlTe2Au | PBE | optimized geometry

Lattice parameters (Å, degrees): 4.9432 8.6689 8.3023 99.68 90.00 90.00
With the nearest neighbours (Å) after each atom.
Positions (direct):
Te  0.3064  0.7393  0.4527  1 Au 2.69
Au  0.0000  0.0000  0.0000  2 Te 2.69
Au  0.0000  0.0000  0.5000  2 Te 2.69
Te  0.6936  0.7393  0.9527  1 Au 2.69
Te  0.3064  0.2607  0.0473  1 Au 2.69
Nd  0.5007  0.0000  0.2500  4 Te 3.18-3.20, 4 Au 3.22-3.23
Tl  0.8182  0.5000  0.2500  6 Te 3.43-3.53
Tl  0.1818  0.5000  0.7500  6 Te 3.43-3.53
Te  0.6936  0.2607  0.5473  1 Au 2.69
Nd  0.4993  0.0000  0.7500  4 Te 3.18-3.20, 4 Au 3.22-3.23

Output
Raw formation energy   -0.638 eV per atom
Space group   P2/c, No. 13
DFT total energy   -39.8 eV/cell
M_tot   0.000 μB/f.u.

***

CuIrRh3 | PBE | optimized geometry

Lattice parameters (Å, degrees): 4.6705 6.0586 5.4001 77.04 106.72 82.72
With the nearest neighbours (Å) after each atom.
Positions (direct):
Rh  0.6013  0.2966  0.9543  3 Ir 2.65-2.71, 6 Rh 2.69-2.73, 3 Cu 2.70-2.73
Rh  0.3987  0.7034  0.0457  3 Ir 2.65-2.71, 6 Rh 2.69-2.73, 3 Cu 2.70-2.73
Rh  0.0013  0.4970  0.2527  7 Rh 2.68-2.72, 3 Cu 2.68-2.70, 2 Ir 2.69-2.70
Cu  0.4031  0.6984  0.5489  9 Rh 2.67-2.73, 1 Cu 2.68, 2 Ir 2.73-2.74
Rh  0.9987  0.5030  0.7473  7 Rh 2.68-2.72, 3 Cu 2.68-2.70, 2 Ir 2.69-2.70
Cu  0.5969  0.3016  0.4511  9 Rh 2.67-2.73, 1 Cu 2.68, 2 Ir 2.73-2.74
Rh  0.7987  0.8990  0.3529  3 Cu 2.67-2.72, 5 Rh 2.68-2.72, 4 Ir 2.70-2.73
Ir  0.1917  0.1027  0.1437  1 Ir 2.64, 9 Rh 2.65-2.73, 2 Cu 2.73-2.74
Ir  0.8083  0.8973  0.8563  1 Ir 2.64, 9 Rh 2.65-2.73, 2 Cu 2.73-2.74
Rh  0.2013  0.1010  0.6471  3 Cu 2.67-2.72, 5 Rh 2.68-2.72, 4 Ir 2.70-2.73

Output
Space group   P-1, No. 2
DFT total energy   -69.7 eV/cell
DFT formation energy   36 meV/atom
M_tot   0.000 μB/f.u.
Energy above the most stable polymorph in this dataset   0 meV/atom

***

MgSc2Cl | PBE | optimized geometry

Lattice parameters (Å, degrees): 3.2339 3.2339 9.2643 90.00 90.00 114.41
With the nearest neighbours (Å) after each atom.
Positions (direct):
Sc  0.0000  0.0000  0.4767  2 Cl 2.73
Mg  0.5000  0.5000  0.7500  4 Sc 3.08, 4 Mg 3.23
Sc  0.0000  0.0000  0.0233  2 Cl 2.73
Cl  0.5000  0.5000  0.2500  4 Sc 2.73

Output
Raw formation energy   -0.453 eV per atom
Space group   Cmmm, No. 65
DFT total energy   -17.9 eV/cell
M_tot   0.001 μB/f.u.
Energy above the most stable polymorph in this dataset   156 meV/atom

***

Si4Tc2W | PBE | optimized geometry

Lattice parameters (Å, degrees): 4.5789 4.5789 6.9113 70.65 70.65 90.00
With the nearest neighbours (Å) after each atom.
Positions (direct):
Si  0.7947  0.7947  0.4105  1 Tc 2.32, 1 W 2.51
W  0.0000  0.0000  0.0000  6 Si 2.29-2.51
Si  0.0000  0.5000  0.0000  2 W 2.29
Tc  0.6045  0.6045  0.7910  1 Si 2.32, 1 Tc 2.55
Tc  0.3955  0.3955  0.2090  1 Si 2.32, 1 Tc 2.55
Si  0.2053  0.2053  0.5895  1 Tc 2.32, 1 W 2.51
Si  0.5000  0.0000  0.0000  2 W 2.29

Output
Raw formation energy   0.698 eV per atom
Space group   I4/mmm, No. 139
DFT total energy   -50.5 eV/cell
M_tot   0.865 μB/f.u.

***

LaSm3Ho6Tm2 | PBE | optimized geometry

Lattice parameters (Å, degrees): 6.1719 6.1719 11.8039 94.98 94.98 119.98
With the nearest neighbours (Å) after each atom.
Positions (direct):
Ho  0.9162  0.5814  0.7506  2 Tm 3.55, 6 Ho 3.56-3.58, 3 Sm 3.56-3.57, 1 La 3.56
La  0.0000  0.0000  0.0000  6 Ho 3.56, 6 Tm 3.56
Sm  0.8329  0.1671  0.5000  6 Ho 3.56-3.57, 6 Sm 3.56-3.57
Ho  0.2512  0.2512  0.7505  6 Ho 3.56-3.58, 2 Tm 3.56, 1 La 3.56, 3 Sm 3.56-3.57
Ho  0.0838  0.4186  0.2494  2 Tm 3.55, 6 Ho 3.56-3.58, 3 Sm 3.56-3.57, 1 La 3.56
Sm  0.1671  0.8329  0.5000  6 Ho 3.56-3.57, 6 Sm 3.56-3.57
Tm  0.3333  0.6667  0.0000  6 Ho 3.55-3.56, 3 La 3.56, 3 Tm 3.56
Sm  0.5000  0.5000  0.5000  6 Sm 3.56-3.57, 6 Ho 3.56-3.57
Tm  0.6667  0.3333  0.0000  6 Ho 3.55-3.56, 3 La 3.56, 3 Tm 3.56
Ho  0.5814  0.9162  0.7506  2 Tm 3.55, 6 Ho 3.56-3.58, 3 Sm 3.56-3.57, 1 La 3.56
Ho  0.7488  0.7488  0.2495  6 Ho 3.56-3.58, 2 Tm 3.56, 1 La 3.56, 3 Sm 3.56-3.57
Ho  0.4186  0.0838  0.2494  2 Tm 3.55, 6 Ho 3.56-3.58, 3 Sm 3.56-3.57, 1 La 3.56

Output
Space group   C2/m, No. 12
DFT total energy   -55.2 eV/cell
DFT formation energy   21 meV/atom
M_tot   0.000 μB/f.u.

***

Ba2Cd4Hg3Au | PBE | optimized geometry

Lattice parameters (Å, degrees): 4.9005 4.9005 12.0915 90.00 90.00 90.00
With the nearest neighbours (Å) after each atom.
Positions (direct):
Hg  0.0000  0.5000  0.1407  5 Cd 2.86-2.98
Hg  0.0000  0.0000  0.5000  4 Cd 2.86
Au  0.5000  0.5000  0.5000  4 Cd 2.86
Cd  0.0000  0.5000  0.3774  3 Hg 2.86, 2 Au 2.86
Cd  0.0000  0.0000  0.0000  4 Hg 2.98
Hg  0.5000  0.0000  0.8593  5 Cd 2.86-2.98
Ba  0.5000  0.0000  0.2606  8 Cd 3.74-3.99, 6 Hg 3.76-3.79, 2 Au 3.79
Cd  0.5000  0.5000  0.0000  4 Hg 2.98
Cd  0.5000  0.0000  0.6226  3 Hg 2.86, 2 Au 2.86
Ba  0.0000  0.5000  0.7394  8 Cd 3.74-3.99, 6 Hg 3.76-3.79, 2 Au 3.79

Output
Space group   P-4m2, No. 115
DFT total energy   -15.2 eV/cell
DFT formation energy   -346 meV/atom
M_tot   0.000 μB/f.u.

***

PaSiGe | PBE | optimized geometry

Lattice parameters (Å, degrees): 3.9081 4.1827 4.1827 120.00 90.00 90.00
With the nearest neighbours (Å) after each atom.
Positions (direct):
Si  0.4999  0.6667  0.3333  3 Ge 2.41
Pa  0.0000  0.0000  0.0000  6 Si 3.11, 6 Ge 3.11
Ge  0.5001  0.3333  0.6667  3 Si 2.41

Output
Raw formation energy   -0.368 eV per atom
Space group   P-6m2, No. 187
DFT total energy   -20.6 eV/cell
M_tot   0.000 μB/f.u.
Energy above the most stable polymorph in this dataset   23 meV/atom

***

U2AsC | PBE | optimized geometry

Lattice parameters (Å, degrees): 5.5376 5.5335 10.4206 90.96 90.00 90.00
With the nearest neighbours (Å) after each atom.
Positions (direct):
U  0.2315  0.9997  0.6528  2 C 2.34-2.56
As  0.7318  0.0074  0.6259  6 U 2.78-2.91
U  0.7685  0.4997  0.1528  2 C 2.34-2.56
As  0.7318  0.4926  0.8741  6 U 2.78-2.91
U  0.7415  0.5062  0.5950  2 C 2.34-2.51
As  0.2682  0.5074  0.1259  6 U 2.78-2.91
U  0.2585  0.0062  0.0950  2 C 2.34-2.51
C  0.8098  0.4591  0.3746  4 U 2.34-2.56
As  0.2682  0.9926  0.3741  6 U 2.78-2.91
U  0.2585  0.4938  0.4050  2 C 2.34-2.51
U  0.7685  0.0003  0.3472  2 C 2.34-2.56
U  0.7415  0.9938  0.9050  2 C 2.34-2.51
C  0.1902  0.9591  0.8746  4 U 2.34-2.56
C  0.1902  0.5409  0.6254  4 U 2.34-2.56
C  0.8098  0.0409  0.1254  4 U 2.34-2.56
U  0.2315  0.5003  0.8472  2 C 2.34-2.56

Output
Space group   P2/c, No. 13
DFT total energy   -149.0 eV/cell
DFT formation energy   -199 meV/atom
M_tot   4.036 μB/f.u.

***

BaTlS2 | PBE | optimized geometry

Lattice parameters (Å, degrees): 3.8267 5.2653 5.2653 90.00 90.00 90.00
With the nearest neighbours (Å) after each atom.
Positions (direct):
Tl  0.5000  0.5000  0.5000  8 S 3.25
S  0.0000  0.0000  0.5000  4 Ba 3.25, 4 Tl 3.25
Ba  0.5000  0.0000  0.0000  8 S 3.25
S  0.0000  0.5000  0.0000  4 Ba 3.25, 4 Tl 3.25

Output
Raw formation energy   -0.929 eV per atom
Space group   P4/mmm, No. 123
DFT total energy   -16.3 eV/cell
M_tot   0.000 μB/f.u.

***

BaPaAsO5 | PBE | optimized geometry

Lattice parameters (Å, degrees): 6.4064 6.4064 8.7353 108.60 108.60 101.27
With the nearest neighbours (Å) after each atom.
Positions (direct):
Ba  0.6824  0.3176  0.7500  7 O 2.68-2.84
Pa  0.0000  0.0000  0.5000  6 O 2.09-2.33
O  0.0316  0.9684  0.2500  2 Pa 2.21
O  0.9684  0.0316  0.7500  2 Pa 2.21
O  0.3865  0.2436  0.1335  1 As 1.78
O  0.2436  0.3865  0.6335  1 As 1.78
O  0.2959  0.8979  0.5603  1 Pa 2.09
O  0.7041  0.1021  0.4397  1 Pa 2.09
Pa  0.0000  0.0000  0.0000  6 O 2.09-2.33
O  0.6135  0.7564  0.8665  1 As 1.78
Ba  0.3176  0.6824  0.2500  7 O 2.68-2.84
O  0.8979  0.2959  0.0603  1 Pa 2.09
As  0.6920  0.3080  0.2500  2 O 1.78
O  0.1021  0.7041  0.9397  1 Pa 2.09
As  0.3080  0.6920  0.7500  2 O 1.78
O  0.7564  0.6135  0.3665  1 As 1.78

Output
Raw formation energy   -2.657 eV per atom
Space group   C2/c, No. 15
DFT total energy   -124.2 eV/cell
M_tot   0.000 μB/f.u.

***

MgTaAs2 | PBE | optimized geometry

Lattice parameters (Å, degrees): 6.5891 4.9693 3.1406 78.17 80.36 127.59
With the nearest neighbours (Å) after each atom.
Positions (direct):
Ta  0.5000  0.5000  0.0000  4 As 2.65
As  0.0000  0.0000  0.0000  2 Ta 2.65, 2 Mg 2.65
As  0.5000  0.0000  0.5000  2 Mg 2.65, 2 Ta 2.65
Mg  0.0000  0.5000  0.5000  4 As 2.65

Output
Space group   C2/m, No. 12
DFT total energy   -23.0 eV/cell
DFT formation energy   -59 meV/atom
M_tot   0.000 μB/f.u.

***

Please write out number 3 again, unchanged.
MgSc2Cl | PBE | optimized geometry

Lattice parameters (Å, degrees): 3.2339 3.2339 9.2643 90.00 90.00 114.41
With the nearest neighbours (Å) after each atom.
Positions (direct):
Sc  0.0000  0.0000  0.4767  2 Cl 2.73
Mg  0.5000  0.5000  0.7500  4 Sc 3.08, 4 Mg 3.23
Sc  0.0000  0.0000  0.0233  2 Cl 2.73
Cl  0.5000  0.5000  0.2500  4 Sc 2.73

Output
Raw formation energy   -0.453 eV per atom
Space group   Cmmm, No. 65
DFT total energy   -17.9 eV/cell
M_tot   0.001 μB/f.u.
Energy above the most stable polymorph in this dataset   156 meV/atom

***

DFT total energy of number 4 (Si4Tc2W)?
-50.5 eV/cell